[1]
VASP calculation (PBE) on a relaxed LiTc3Se crystal.

Summary:
Crystal system ... cubic
Total energy ... -6.232 eV/atom
E_form (uncorrected) ... 1067.4 meV per atom
DOS at the Fermi energy ... 0.933 states/eV per atom
Space-group type ... Pm-3m, No. 221

Cell: 4.570 4.570 4.570 Å, 90.00 90.00 90.00°
Last column: magnetic moment on the atom in μB.
Positions (direct):
Tc: 0.500 0.000 0.000  0.35
Tc: 0.000 0.000 0.500  0.45
Li: 0.500 0.500 0.500  -0.01
Se: 0.000 0.000 0.000  -0.02
Tc: 0.000 0.500 0.000  0.44

[2]
VASP calculation (PBE) on a relaxed LiTcSe crystal.

Summary:
Crystal system ... orthorhombic
Total energy ... -5.010 eV/atom
E_form (uncorrected) ... 244.5 meV per atom
DOS at the Fermi energy ... 0.790 states/eV per atom
Space-group type ... Fmm2, No. 42

Cell: 6.867 6.595 2.928 Å, 82.68 72.30 25.02°
Positions (direct):
Tc: 0.324 0.324 0.676
Se: 0.677 0.677 0.323
Li: 0.999 0.999 0.001

[3]
VASP calculation (PBE) on a relaxed LiTcSe2 crystal.

Summary:
Crystal system ... tetragonal
Total energy ... -5.121 eV/atom
E_form (uncorrected) ... -308.6 meV per atom
DOS at the Fermi energy ... 0.715 states/eV per atom
Space-group type ... P4/mmm, No. 123

Cell: 3.136 3.136 6.737 Å, 90.00 90.00 90.04°
Positions (direct):
Se: 0.000 0.000 0.023
Tc: 0.500 0.500 0.250
Se: 0.000 0.000 0.477
Li: 0.500 0.500 0.750

[4]
VASP calculation (PBE) on a relaxed LiTcSe crystal.

Summary:
Crystal system ... cubic
Total energy ... -5.326 eV/atom
E_form (uncorrected) ... -71.3 meV per atom
DOS at the Fermi energy ... 0.443 states/eV per atom
Space-group type ... F-43m, No. 216

Cell: 4.074 4.074 4.074 Å, 60.00 60.00 60.00°
Positions (direct):
Tc: 0.000 0.000 0.000
Li: 0.500 0.500 0.500
Se: 0.750 0.750 0.750

[5]
VASP calculation (PBE) on a relaxed LiTcSe2 crystal.

Summary:
Crystal system ... trigonal
Total energy ... -5.154 eV/atom
E_form (uncorrected) ... -341.9 meV per atom
DOS at the Fermi energy ... 0.153 states/eV per atom
Space-group type ... R-3m, No. 166

Cell: 8.009 8.009 8.009 Å, 26.56 26.56 26.56°
Last column: magnetic moment on the atom in μB.
Positions (direct):
Se: 0.896 0.896 0.896  0.04
Se: 0.104 0.104 0.104  0.04
Li: 0.000 0.000 0.000  0.01
Tc: 0.500 0.500 0.500  1.64

[6]
VASP calculation (PBE) on a relaxed Li4TcSe crystal.

Summary:
Crystal system ... cubic
Total energy ... -3.324 eV/atom
E_form (uncorrected) ... 260.1 meV per atom
DOS at the Fermi energy ... 0.287 states/eV per atom
Space-group type ... F-43m, No. 216

Cell: 4.969 4.969 4.969 Å, 60.00 60.00 60.00°
Last column: magnetic moment on the atom in μB.
Positions (direct):
Li: 0.374 0.374 0.374  -0.03
Li: 0.374 0.374 0.878  -0.03
Li: 0.374 0.878 0.374  -0.03
Li: 0.878 0.374 0.374  -0.03
Se: 0.750 0.750 0.750  0.03
Tc: 0.000 0.000 0.000  1.81

[7]
VASP calculation (PBE) on a relaxed LiTc3Se crystal.

Summary:
Crystal system ... cubic
Total energy ... -5.905 eV/atom
E_form (uncorrected) ... 1394.5 meV per atom
DOS at the Fermi energy ... 1.001 states/eV per atom
Space-group type ... Pm-3m, No. 221

Cell: 4.217 4.217 4.217 Å, 90.00 90.00 90.00°
Last column: magnetic moment on the atom in μB.
Positions (direct):
Tc: 0.000 0.000 0.500  1.22
Se: 0.500 0.500 0.500  -0.02
Tc: 0.000 0.500 0.000  0.97
Li: 0.000 0.000 0.000  0.01
Tc: 0.500 0.000 0.000  0.77

[8]
VASP calculation (PBE) on a relaxed LiTcSe2 crystal.

Summary:
Crystal system ... tetragonal
Total energy ... -4.752 eV/atom
E_form (uncorrected) ... 60.5 meV per atom
DOS at the Fermi energy ... 0.795 states/eV per atom
Space-group type ... I-4m2, No. 119

Cell: 5.666 5.666 5.666 Å, 141.72 141.72 55.26°
Last column: magnetic moment on the atom in μB.
Positions (direct):
Se: 0.250 0.750 0.500  0.06
Li: 0.750 0.250 0.500  0.00
Se: 0.000 0.000 0.000  0.01
Tc: 0.500 0.500 0.000  2.06